{
  "formula": "Fe3SbO",
  "functional": "GGA+U",
  "state": "relaxed",
  "n_ef_per_ev_atom": 0.872,
  "m_tot_mub_per_cell": 11.00,
  "dft_energy_ev_per_cell": -18.5,
  "cell": [[5.0168, 0.0000, 0.0000], [0.0000, 5.0168, 0.0000], [0.0000, 0.0000, 5.0168]],
  "species": ["Sb", "Fe", "Fe", "Fe", "O"],
  "fractional_positions": [[0.0000, 0.0000, 0.0000], [0.0000, 0.5000, 0.0000], [0.0000, 0.0000, 0.5000], [0.5000, 0.0000, 0.0000], [0.5000, 0.5000, 0.5000]]
}